# 1
Crystalline RbErTl2Br6 at its relaxed geometry. Source: Alexandria, functional PBE.

The space group is P1 (No. 1) and the conventional cell measures 8.206, 8.213 and 8.510 Å, with angles of 90.02, 118.82 and 119.96 degrees. The distinct sites, in fractional coordinates, are Rb at (0.000, 0.000, 0.000), Er at (0.980, 0.490, 0.469), Tl at (0.574, 0.287, 0.860), Tl at (0.595, 0.798, 0.392), Br at (0.080, 0.401, 0.222), Br at (0.084, 0.259, 0.683), Br at (0.424, 0.825, 0.683), Br at (0.543, 0.142, 0.221), Br at (0.821, 0.679, 0.221) and Br at (0.858, 0.600, 0.683).

The total energy is -3.49 eV/atom.

***

# 2
Crystalline RbErVBr6 at its relaxed geometry. Source: Alexandria, functional PBE.

The space group is P-31c (No. 163) and the conventional cell measures 7.0178, 7.0178 and 15.7292 Å, with angles of 90.00, 90.00 and 120.00 degrees. The distinct sites, in fractional coordinates, are Rb at (0.0000, 0.0000, 0.0000), Er at (0.3333, 0.6667, 0.2500), V at (0.3333, 0.6667, 0.7500) and Br at (0.0145, 0.3739, 0.6507).

The total energy is -4.24 eV/atom.

***

# 3
Crystalline RbErZnBr6 at its relaxed geometry. Source: Alexandria, functional PBE.

The space group is P312 (No. 149) and the conventional cell measures 7.0782, 7.0782 and 7.7396 Å, with angles of 90.00, 90.00 and 120.00 degrees. The distinct sites, in fractional coordinates, are Rb at (0.0000, 0.0000, 0.0000), Er at (0.3333, 0.6667, 0.5000), Zn at (0.6667, 0.3333, 0.5000) and Br at (0.3800, 0.0131, 0.7029).

The total energy is -3.37 eV/atom.

***

# 4
Crystalline Er2RhBr at its relaxed geometry. Source: Alexandria, functional PBE.

The space group is R-3m (No. 166, hexagonal axes) and the conventional cell measures 3.9649, 3.9649 and 22.8271 Å, with angles of 90.00, 90.00 and 120.00 degrees. The distinct sites, in fractional coordinates, are Er at (0.0000, 0.0000, 0.2307), Rh at (0.0000, 0.0000, 0.5000) and Br at (0.0000, 0.0000, 0.0000).

The total energy is -5.62 eV/atom.

***

# 5
Crystalline Er2RhBr at its relaxed geometry. Source: Alexandria, functional PBE.

The space group is R3m (No. 160, hexagonal axes) and the conventional cell measures 3.9664, 3.9664 and 23.0429 Å, with angles of 90.00, 90.00 and 120.00 degrees. The distinct sites, in fractional coordinates, are Er at (0.0000, 0.0000, 0.0000), Er at (0.0000, 0.0000, 0.2070), Rh at (0.0000, 0.0000, 0.6028) and Br at (0.0000, 0.0000, 0.4312).

The total energy is -5.60 eV/atom.

***

# 6
Crystalline Er2RhBr2 at its relaxed geometry. Source: Alexandria, functional PBE.

The space group is C2/m (No. 12) and the conventional cell measures 6.785, 3.912 and 11.472 Å, with angles of 90.00, 102.49 and 90.00 degrees. The distinct sites, in fractional coordinates, are Er at (0.219, 0.000, 0.143), Rh at (0.000, 0.500, 0.000) and Br at (0.051, 0.000, 0.687).

The total energy is -5.28 eV/atom.

***

# 7
Crystalline Er3RhBr3 at its relaxed geometry. Source: Alexandria, functional PBE.

The space group is P2_1/m (No. 11) and the conventional cell measures 8.493, 4.061 and 11.779 Å, with angles of 90.00, 91.69 and 90.00 degrees. The distinct sites, in fractional coordinates, are Er at (0.100, 0.250, 0.326), Er at (0.148, 0.250, 0.862), Er at (0.266, 0.750, 0.101), Rh at (0.053, 0.250, 0.096), Br at (0.132, 0.250, 0.599), Br at (0.340, 0.750, 0.358) and Br at (0.433, 0.750, 0.869).

The total energy is -5.07 eV/atom.

***

# 8
Crystalline SmErRhBr at its relaxed geometry. Source: Alexandria, functional PBE.

The space group is R3m (No. 160, hexagonal axes) and the conventional cell measures 4.0068, 4.0068 and 23.2728 Å, with angles of 90.00, 90.00 and 120.00 degrees. The distinct sites, in fractional coordinates, are Sm at (0.0000, 0.0000, 0.0000), Er at (0.0000, 0.0000, 0.2053), Rh at (0.0000, 0.0000, 0.6000) and Br at (0.0000, 0.0000, 0.7725).

The total energy is -5.64 eV/atom.